## PrMgB (PBE-GGA)

Data for a relaxed PrMgB crystal.

Properties
* total magnetic moment: 0.00 μB per cell
* SG: No. 216
* relative energy among the computed polymorphs: 946.0 meV/atom
* calculated total energy: -3.3306 eV per atom

```
PrMgB
1.0
0.000 3.290 3.290
3.290 0.000 3.290
3.290 3.290 0.000
B Mg Pr
1 1 1
Cartesian
1.645 1.645 1.645
4.935 4.935 4.935
0.000 0.000 0.000
```



## TlGa2Cu (PBE-GGA)

Data for a relaxed TlGa2Cu crystal.

Properties
* SG: No. 216
* calculated total energy: -2.7885 eV per atom

```
TlGa2Cu
1.0
0.000 3.414 3.414
3.414 0.000 3.414
3.414 3.414 0.000
Ga Tl Cu
2 1 1
Cartesian
5.120 5.120 5.120
0.000 0.000 0.000
3.414 3.414 3.414
1.707 1.707 1.707
```



## Tb2H4C5O13 (PBE-GGA)

Data for a relaxed Tb2H4C5O13 crystal.

Properties
* total magnetic moment: 0.01 μB per cell
* SG: No. 2
* calculated total energy: -7.2355 eV per atom

```
Tb2H4C5O13
1.0
-1.063 -5.109 2.328
4.674 -1.888 -6.227
7.649 2.950 9.558
C O H Tb
10 26 8 4
Cartesian
8.382 -2.568 8.922
4.950 -2.390 2.890
1.638 -3.180 3.761
8.633 0.069 1.163
9.622 -0.867 1.897
6.139 -1.567 -1.005
6.310 -1.657 2.769
5.121 -2.480 6.663
2.627 -4.116 4.495
2.878 -1.479 -3.264
3.663 -1.758 -2.325
9.614 -0.806 3.169
5.195 -1.928 -0.200
5.686 0.300 7.408
10.545 0.960 5.132
7.111 -2.069 1.897
4.149 -1.978 3.761
5.574 -4.347 -1.750
7.181 -2.306 -1.099
2.825 -3.895 5.734
4.079 -1.741 6.757
4.926 -5.580 0.662
2.090 -1.475 0.335
1.647 -3.241 2.489
3.089 -3.960 -0.563
4.738 -3.365 2.094
6.065 -2.119 5.858
8.435 -0.152 -0.076
6.522 -0.682 3.564
6.334 1.533 4.996
7.597 -2.289 7.983
9.171 -2.571 5.323
7.038 -4.106 4.137
8.172 -0.087 6.221
0.716 -5.007 0.526
4.222 0.060 1.521
7.390 -0.008 6.819
8.460 -1.026 6.270
2.800 -3.021 -0.612
1.239 -1.231 -0.074
3.870 -4.039 -1.161
1.887 -1.888 1.214
10.022 -2.816 5.732
9.373 -2.159 4.444
6.439 -3.864 0.513
8.464 1.060 4.091
4.821 -0.183 5.145
2.796 -5.106 1.567
```



## CuNiMoAs (PBE-GGA)

Data for a relaxed CuNiMoAs crystal.

Properties
* total magnetic moment: 2.10 μB per cell
* SG: No. 216
* relative energy among the computed polymorphs: 292.7 meV/atom
* calculated total energy: -5.7611 eV per atom

```
CuNiMoAs
1.0
-0.254 -2.014 3.792
0.917 2.121 3.627
-3.143 1.000 2.760
Cu Mo As Ni
1 1 1 1
Cartesian
-1.860 0.830 7.634
-1.240 0.553 5.089
0.000 0.000 0.000
-0.620 0.277 2.545
```



## CdPd (PBE-GGA)

Data for a relaxed CdPd crystal.

Properties
* formation enthalpy at 0 K: -285.0 meV/atom
* SG: No. 187
* calculated total energy: -3.3204 eV per atom

```
CdPd
1.0
3.012 0.000 0.000
-1.506 2.608 0.000
0.000 0.000 4.483
Cd Pd
1 1
Cartesian
1.506 0.869 3.362
0.000 1.739 1.121
```



## NbCuAgAu (PBE-GGA)

Data for a relaxed NbCuAgAu crystal.

Properties
* total magnetic moment: 0.01 μB per cell
* formation enthalpy at 0 K: 165.5 meV/atom
* SG: No. 216
* relative energy among the computed polymorphs: 49.5 meV/atom
* calculated total energy: -4.8099 eV per atom

```
NbCuAgAu
1.0
-4.462 0.253 0.804
-2.867 0.959 -3.389
-2.781 -3.214 -1.599
Cu Nb Ag Au
1 1 1 1
Cartesian
0.000 0.000 0.000
-5.055 -1.001 -2.092
-2.528 -0.501 -1.046
-7.583 -1.502 -3.138
```



## TcBiAu2 (PBE-GGA)

Data for a relaxed TcBiAu2 crystal.

Properties
* total magnetic moment: 0.99 μB per cell
* SG: No. 216
* calculated total energy: -4.7309 eV per atom

```
TcBiAu2
1.0
0.000 3.373 3.373
3.373 0.000 3.373
3.373 3.373 0.000
Au Tc Bi
2 1 1
Cartesian
5.059 5.059 5.059
0.000 0.000 0.000
1.686 1.686 1.686
3.373 3.373 3.373
```



## CsZrPt (PBE-GGA)

Data for a relaxed CsZrPt crystal.

Properties
* total magnetic moment: 0.00 μB per cell
* SG: No. 216
* relative energy among the computed polymorphs: 0.0 meV/atom
* calculated total energy: -4.4503 eV per atom

```
CsZrPt
1.0
0.679 -4.767 -0.094
-2.592 -2.859 2.883
-3.380 -2.878 -1.869
Cs Pt Zr
1 1 1
Cartesian
-1.323 -2.626 0.230
-3.969 -7.878 0.690
0.000 0.000 0.000
```



What is the formula in the fifth record?
CdPd



Among the records above, which one has the highest calculated total energy?
TlGa2Cu



What did the sixth record say?
## NbCuAgAu (PBE-GGA)

Data for a relaxed NbCuAgAu crystal.

Properties
* total magnetic moment: 0.01 μB per cell
* formation enthalpy at 0 K: 165.5 meV/atom
* SG: No. 216
* relative energy among the computed polymorphs: 49.5 meV/atom
* calculated total energy: -4.8099 eV per atom

```
NbCuAgAu
1.0
-4.462 0.253 0.804
-2.867 0.959 -3.389
-2.781 -3.214 -1.599
Cu Nb Ag Au
1 1 1 1
Cartesian
0.000 0.000 0.000
-5.055 -1.001 -2.092
-2.528 -0.501 -1.046
-7.583 -1.502 -3.138
```